Pm8Nd3Mg: optimized geometry, PBE-GGA.

Cell: 6.2837 8.1200 13.0489 Å, 79.28 108.71 49.80°
Element x y z (fractional)
Nd: 0.6246 0.7476 0.1246
Pm: 0.0440 0.9130 0.2085
Pm: 0.5408 0.9124 0.7064
Pm: 0.2946 0.4115 0.4621
Pm: 0.7093 0.5824 0.5432
Nd: 0.3808 0.2434 0.8726
Pm: 0.4605 0.0789 0.2950
Pm: 0.9545 0.0839 0.7871
Pm: 0.7888 0.4163 0.9542
Nd: 0.8695 0.2510 0.3770
Pm: 0.2064 0.5815 0.0411
Mg: 0.1245 0.7478 0.6248

Values from the calculation:
E_form = 0.015 eV per atom
theoretical density = 6641 kg/m3
total magnetization = 0.0 Bohr magnetons per cell